(1)
AcPaNbO6 | PBE | optimized geometry

```
AcPaNbO6
1.0
-1.901 -0.264 -4.832
4.738 -1.155 -1.801
-2.003 -10.318 1.351
O Pa Nb Ac
12 2 2 2
Cartesian
-0.086 -11.216 -3.113
1.597 -9.345 -1.393
0.144 -3.621 -1.382
2.607 -6.106 -1.654
-2.018 -8.860 -3.043
-0.555 -7.504 -0.993
-1.061 -10.728 -0.833
0.639 -8.100 -3.783
-1.751 -5.520 -3.643
2.967 -2.902 -2.185
-0.880 -2.385 -3.942
1.437 -4.267 -4.404
1.084 -2.436 -3.091
-1.336 -6.885 0.901
-0.258 -9.346 -2.186
-0.675 -3.478 0.455
0.408 -5.915 -2.635
-0.009 -0.047 0.006
```

Results
Symmetry: No. 102
E_form (uncorrected): -3.087 eV/atom
Total moment: 0.12 μB per atom
VASP energy: -9.02 eV/atom

(2)
AcNbPb2O6 | PBE | optimized geometry

```
AcNbPb2O6
1.0
-4.937 -2.119 2.231
3.416 -3.509 4.227
-0.387 6.536 5.739
O Ac Pb Nb
12 2 4 2
Cartesian
-2.633 -2.391 5.626
-1.291 -1.181 8.372
-2.669 3.671 8.564
0.761 -2.763 3.632
-0.617 2.089 3.824
-2.890 0.348 3.158
-0.033 -0.774 1.766
-2.631 1.368 5.830
0.982 0.560 9.038
0.723 -0.460 6.366
-1.875 1.683 10.430
0.725 3.300 6.570
-2.468 -1.060 1.115
1.515 1.514 4.983
-0.945 2.092 7.853
3.147 -1.585 5.638
-0.963 -1.184 4.343
-5.055 2.494 6.558
-2.662 2.209 3.985
1.708 -1.754 2.113
```

Results
Symmetry: No. 14
E_form (uncorrected): -2.177 eV/atom
Total moment: 0.00 μB per atom
VASP energy: -7.31 eV/atom

(3)
AcNb2PbO8 | PBE | optimized geometry

```
AcNb2PbO8
1.0
6.252 0.000 0.000
-3.126 5.414 0.000
0.000 0.000 7.005
Pb Ac Nb O
1 1 2 8
Cartesian
0.000 0.000 0.000
0.000 0.000 3.503
3.126 1.805 1.157
0.000 3.610 5.849
1.530 0.886 1.718
1.596 4.528 5.287
4.720 0.882 1.718
3.129 3.647 1.718
-0.003 1.768 5.287
-1.594 4.533 5.287
3.126 1.805 6.386
0.000 3.610 0.620
```

Results
Symmetry: No. 164
E_form (uncorrected): -2.298 eV/atom
Total moment: 0.00 μB per atom
VASP energy: -7.93 eV/atom